1.
Below is a relaxed LiNdY crystal, with properties calculated at the PBE-GGA level.

Cell: 5.201 5.209 12.937 Å, 90.00 90.07 90.00°
Space group C2/m (No. 12)
Asymmetric unit:
Li 0.249 0.000 0.050 (multiplicity 4)
Nd 0.249 0.000 0.397 (multiplicity 4)
Y 0.249 0.500 0.209 (multiplicity 4)

Results
Density ... 4.55 g/cm³
V ... 29.21 Å³ per atom
Spin magnetization ... 0.0 μB/f.u.
Energy relative to the elements ... 14 kJ/mol of formula units
Electronic total energy ... -4.33 eV/atom
E above lowest polymorph ... 0.0 meV/atom

---

2.
Below is a relaxed Li2NdY crystal, with properties calculated at the PBE-GGA level.

Cell: 3.3703 3.3703 35.8756 Å, 90.00 90.00 120.00°
Space group R-3m (No. 166, hexagonal axes)
Asymmetric unit:
Li 0.0000 0.0000 0.0875 (multiplicity 6)
Nd 0.0000 0.0000 0.5000 (multiplicity 3)
Y 0.0000 0.0000 0.0000 (multiplicity 3)

Results
Density ... 3.49 g/cm³
V ... 29.41 Å³ per atom
Spin magnetization ... 0.0 μB/f.u.
Energy relative to the elements ... 110 kJ/mol of formula units
Electronic total energy ... -3.48 eV/atom
E above lowest polymorph ... 149.1 meV/atom

---

3.
Below is a relaxed LiNdY crystal, with properties calculated at the PBE-GGA level.

Cell: 3.740 3.740 12.450 Å, 90.00 90.00 90.00°
Space group I4mm (No. 107)
Asymmetric unit:
Li 0.000 0.000 0.000 (multiplicity 2)
Nd 0.000 0.000 0.657 (multiplicity 2)
Y 0.000 0.000 0.353 (multiplicity 2)

Results
Density ... 4.58 g/cm³
V ... 29.03 Å³ per atom
Spin magnetization ... 0.0 μB/f.u.
Energy relative to the elements ... 21 kJ/mol of formula units
Electronic total energy ... -4.31 eV/atom
E above lowest polymorph ... 26.2 meV/atom

---

4.
Below is a relaxed LiNdY crystal, with properties calculated at the PBE-GGA level.

Cell: 11.484 5.296 6.692 Å, 90.00 121.69 90.00°
Space group C2/m (No. 12)
Asymmetric unit:
Li 0.144 0.000 0.095 (multiplicity 4)
Nd 0.038 0.500 0.785 (multiplicity 4)
Y 0.179 0.000 0.599 (multiplicity 4)

Results
Density ... 4.60 g/cm³
V ... 28.86 Å³ per atom
Spin magnetization ... 0.0 μB/f.u.
Energy relative to the elements ... 24 kJ/mol of formula units
Electronic total energy ... -4.30 eV/atom
E above lowest polymorph ... 37.2 meV/atom

---

5.
Below is a relaxed LiNd5Y4 crystal, with properties calculated at the PBE-GGA level.

Cell: 3.646 3.646 24.588 Å, 90.00 90.00 90.00°
Space group P4/mmm (No. 123)
Asymmetric unit:
Li 0.000 0.000 0.000 (multiplicity 1)
Nd 0.500 0.500 0.086 (multiplicity 2)
Nd 0.500 0.500 0.293 (multiplicity 2)
Nd 0.500 0.500 0.500 (multiplicity 1)
Y 0.000 0.000 0.189 (multiplicity 2)
Y 0.000 0.000 0.396 (multiplicity 2)

Results
Density ... 5.51 g/cm³
V ... 32.68 Å³ per atom
Spin magnetization ... 0.0 μB/f.u.
Energy relative to the elements ... 34 kJ/mol of formula units
Electronic total energy ... -5.13 eV/atom

---

6.
Below is a relaxed Li2NdY crystal, with properties calculated at the PBE-GGA level.

Cell: 7.555 7.555 7.555 Å, 90.00 90.00 90.00°
Space group Fm-3m (No. 225)
Asymmetric unit:
Li 0.250 0.250 0.250 (multiplicity 8)
Nd 0.000 0.000 0.000 (multiplicity 4)
Y 0.000 0.000 0.500 (multiplicity 4)

Results
Density ... 3.81 g/cm³
V ... 26.95 Å³ per atom
Spin magnetization ... 0.0 μB/f.u.
Energy relative to the elements ... 55 kJ/mol of formula units
Electronic total energy ... -3.62 eV/atom
E above lowest polymorph ... 4.9 meV/atom